(1)
# Pr2Pa2Pd15, relaxed, DFT PBE
# Formation energy from the elements (meV/atom): -535
# V (Å³/f.u.): 353.43
data_Pr2Pa2Pd15
_symmetry_space_group_name_H-M 'R -3 m'
_symmetry_Int_Tables_number 166
_symmetry_space_group_name_Hall '-R 3 2"'
_cell_length_a 9.2828
_cell_length_b 9.2828
_cell_length_c 14.2084
_cell_angle_alpha 90.00
_cell_angle_beta 90.00
_cell_angle_gamma 120.00
loop_
_atom_site_label
_atom_site_type_symbol
_atom_site_fract_x
_atom_site_fract_y
_atom_site_fract_z
Pr1 Pr 0.0000 0.0000 0.1406
Pa1 Pa 0.0000 0.0000 0.3951
Pd1 Pd 0.0000 0.3060 0.5000
Pd2 Pd 0.0000 0.5000 0.0000
Pd3 Pd 0.9998 0.4999 0.3442


(2)
# PrPaPd14, relaxed, DFT PBE
# Formation energy from the elements (meV/atom): -418
# V (Å³/f.u.): 269.96
data_PrPaPd14
_symmetry_space_group_name_H-M 'P 4/m m m'
_symmetry_Int_Tables_number 123
_symmetry_space_group_name_Hall '-P 4 2'
_cell_length_a 5.883
_cell_length_b 5.883
_cell_length_c 7.799
_cell_angle_alpha 90.00
_cell_angle_beta 90.00
_cell_angle_gamma 90.00
loop_
_atom_site_label
_atom_site_type_symbol
_atom_site_fract_x
_atom_site_fract_y
_atom_site_fract_z
Pr1 Pr 0.000 0.000 0.000
Pa1 Pa 0.500 0.500 0.000
Pd1 Pd 0.000 0.000 0.500
Pd2 Pd 0.000 0.500 0.000
Pd3 Pd 0.000 0.500 0.500
Pd4 Pd 0.257 0.257 0.257
Pd5 Pd 0.500 0.500 0.500


(3)
# Pr2PaPd, relaxed, DFT PBE
# Offset from the most stable computed form (eV/f.u.): 0.00
# Formation energy from the elements (meV/atom): -166
# V (Å³/f.u.): 107.04
data_Pr2PaPd
_symmetry_space_group_name_H-M 'P 4/m m m'
_symmetry_Int_Tables_number 123
_symmetry_space_group_name_Hall '-P 4 2'
_cell_length_a 3.590
_cell_length_b 3.590
_cell_length_c 8.304
_cell_angle_alpha 90.00
_cell_angle_beta 90.00
_cell_angle_gamma 90.00
loop_
_atom_site_label
_atom_site_type_symbol
_atom_site_fract_x
_atom_site_fract_y
_atom_site_fract_z
Pr1 Pr 0.000 0.000 0.222
Pa1 Pa 0.500 0.500 0.500
Pd1 Pd 0.500 0.500 0.000


(4)
# PrPaPdS4, relaxed, DFT PBE
# Formation energy (no corrections) (kJ/mol of formula units): -953.0
# V (Å³/f.u.): 150.82
data_PrPaPdS4
_symmetry_space_group_name_H-M 'P 1 21/m 1'
_symmetry_Int_Tables_number 11
_symmetry_space_group_name_Hall '-P 2yb'
_cell_length_a 6.476
_cell_length_b 6.246
_cell_length_c 7.797
_cell_angle_alpha 90.00
_cell_angle_beta 106.97
_cell_angle_gamma 90.00
loop_
_atom_site_label
_atom_site_type_symbol
_atom_site_fract_x
_atom_site_fract_y
_atom_site_fract_z
Pr1 Pr 0.228 0.250 0.052
Pa1 Pa 0.239 0.250 0.558
Pd1 Pd 0.234 0.750 0.323
S1 S 0.036 0.521 0.738
S2 S 0.456 0.750 0.123
S3 S 0.466 0.750 0.618


(5)
# Pr2PaPdS5, relaxed, DFT PBE
# Formation energy (no corrections) (kJ/mol of formula units): -1428.3
# V (Å³/f.u.): 198.97
data_Pr2PaPdS5
_symmetry_space_group_name_H-M 'C m c 21'
_symmetry_Int_Tables_number 36
_symmetry_space_group_name_Hall 'C 2c -2'
_cell_length_a 3.934
_cell_length_b 16.443
_cell_length_c 12.303
_cell_angle_alpha 90.00
_cell_angle_beta 90.00
_cell_angle_gamma 90.00
loop_
_atom_site_label
_atom_site_type_symbol
_atom_site_fract_x
_atom_site_fract_y
_atom_site_fract_z
Pr1 Pr 0.000 0.108 0.000
Pr2 Pr 0.000 0.116 0.345
Pa1 Pa 0.000 0.182 0.672
Pd1 Pd 0.000 0.441 0.066
S1 S 0.000 0.020 0.672
S2 S 0.000 0.299 0.015
S3 S 0.000 0.302 0.328
S4 S 0.000 0.346 0.672
S5 S 0.000 0.493 0.392


(6)
# Pr2PaPdSe5, relaxed, DFT PBE
# Formation energy (no corrections) (kJ/mol of formula units): -1290.3
# V (Å³/f.u.): 224.46
data_Pr2PaPdSe5
_symmetry_space_group_name_H-M 'C m c 21'
_symmetry_Int_Tables_number 36
_symmetry_space_group_name_Hall 'C 2c -2'
_cell_length_a 4.057
_cell_length_b 17.339
_cell_length_c 12.765
_cell_angle_alpha 90.00
_cell_angle_beta 90.00
_cell_angle_gamma 90.00
loop_
_atom_site_label
_atom_site_type_symbol
_atom_site_fract_x
_atom_site_fract_y
_atom_site_fract_z
Pr1 Pr 0.000 0.101 0.000
Pr2 Pr 0.000 0.121 0.346
Pa1 Pa 0.000 0.179 0.667
Pd1 Pd 0.000 0.437 0.067
Se1 Se 0.000 0.018 0.675
Se2 Se 0.000 0.298 0.006
Se3 Se 0.000 0.307 0.328
Se4 Se 0.000 0.344 0.669
Se5 Se 0.000 0.497 0.390


(7)
# PrPaPdSe4, relaxed, DFT PBE
# Formation energy (no corrections) (kJ/mol of formula units): -833.2
# V (Å³/f.u.): 168.98
data_PrPaPdSe4
_symmetry_space_group_name_H-M 'P 1 21/m 1'
_symmetry_Int_Tables_number 11
_symmetry_space_group_name_Hall '-P 2yb'
_cell_length_a 6.801
_cell_length_b 6.391
_cell_length_c 8.133
_cell_angle_alpha 90.00
_cell_angle_beta 107.07
_cell_angle_gamma 90.00
loop_
_atom_site_label
_atom_site_type_symbol
_atom_site_fract_x
_atom_site_fract_y
_atom_site_fract_z
Pr1 Pr 0.222 0.250 0.052
Pa1 Pa 0.251 0.250 0.562
Pd1 Pd 0.241 0.750 0.320
Se1 Se 0.035 0.520 0.738
Se2 Se 0.448 0.750 0.112
Se3 Se 0.455 0.750 0.623


(8)
# PrPaTcPd, relaxed, DFT PBE
# Formation energy from the elements (meV/atom): -175
# V (Å³/f.u.): 87.55
data_PrPaTcPd
_symmetry_space_group_name_H-M 'F -4 3 m'
_symmetry_Int_Tables_number 216
_symmetry_space_group_name_Hall 'F -4 2 3'
_cell_length_a 7.049
_cell_length_b 7.049
_cell_length_c 7.049
_cell_angle_alpha 90.00
_cell_angle_beta 90.00
_cell_angle_gamma 90.00
loop_
_atom_site_label
_atom_site_type_symbol
_atom_site_fract_x
_atom_site_fract_y
_atom_site_fract_z
Pr1 Pr 0.000 0.000 0.000
Pa1 Pa 0.000 0.000 0.500
Tc1 Tc 0.250 0.250 0.750
Pd1 Pd 0.250 0.250 0.250


(9)
# PaPd7Pt3, relaxed, DFT PBE
# Formation energy from the elements (meV/atom): -296
# V (Å³/f.u.): 189.99
data_PaPd7Pt3
_symmetry_space_group_name_H-M 'P 3 m 1'
_symmetry_Int_Tables_number 156
_symmetry_space_group_name_Hall 'P 3 -2"'
_cell_length_a 5.6579
_cell_length_b 5.6579
_cell_length_c 6.8529
_cell_angle_alpha 90.00
_cell_angle_beta 90.00
_cell_angle_gamma 120.00
loop_
_atom_site_label
_atom_site_type_symbol
_atom_site_fract_x
_atom_site_fract_y
_atom_site_fract_z
Pa1 Pa 0.0000 0.0000 0.0000
Pd1 Pd 0.3333 0.6667 0.3216
Pd2 Pd 0.3385 0.1693 0.3289
Pd3 Pd 0.5019 0.0039 0.9868
Pt1 Pt 0.1673 0.3346 0.6563


(10)
# PaPdPt2, relaxed, DFT PBE
# Offset from the most stable computed form (eV/f.u.): 0.00
# Formation energy from the elements (meV/atom): -930
# V (Å³/f.u.): 73.07
data_PaPdPt2
_symmetry_space_group_name_H-M 'P 1 21/m 1'
_symmetry_Int_Tables_number 11
_symmetry_space_group_name_Hall '-P 2yb'
_cell_length_a 5.192
_cell_length_b 4.912
_cell_length_c 5.731
_cell_angle_alpha 90.00
_cell_angle_beta 90.05
_cell_angle_gamma 90.00
loop_
_atom_site_label
_atom_site_type_symbol
_atom_site_fract_x
_atom_site_fract_y
_atom_site_fract_z
Pa1 Pa 0.156 0.250 0.254
Pd1 Pd 0.343 0.750 0.998
Pt1 Pt 0.171 0.250 0.759
Pt2 Pt 0.336 0.750 0.497


(11)
# PaPd6Pt, relaxed, DFT PBE
# Offset from the most stable computed form (eV/f.u.): 2.14
# Formation energy from the elements (meV/atom): -254
# V (Å³/f.u.): 145.65
data_PaPd6Pt
_symmetry_space_group_name_H-M 'C 1 2/m 1'
_symmetry_Int_Tables_number 12
_symmetry_space_group_name_Hall '-C 2y'
_cell_length_a 5.766
_cell_length_b 10.182
_cell_length_c 5.604
_cell_angle_alpha 90.00
_cell_angle_beta 117.70
_cell_angle_gamma 90.00
loop_
_atom_site_label
_atom_site_type_symbol
_atom_site_fract_x
_atom_site_fract_y
_atom_site_fract_z
Pa1 Pa 0.000 0.000 0.000
Pd1 Pd 0.002 0.235 0.749
Pd2 Pd 0.012 0.500 0.760
Pt1 Pt 0.000 0.000 0.500


(12)
# PaPdPt3, relaxed, DFT PBE
# Offset from the most stable computed form (eV/f.u.): 0.00
# Formation energy from the elements (meV/atom): -853
# V (Å³/f.u.): 88.70
data_PaPdPt3
_symmetry_space_group_name_H-M 'C 1 2/m 1'
_symmetry_Int_Tables_number 12
_symmetry_space_group_name_Hall '-C 2y'
_cell_length_a 15.489
_cell_length_b 4.254
_cell_length_c 5.790
_cell_angle_alpha 90.00
_cell_angle_beta 111.55
_cell_angle_gamma 90.00
loop_
_atom_site_label
_atom_site_type_symbol
_atom_site_fract_x
_atom_site_fract_y
_atom_site_fract_z
Pa1 Pa 0.113 0.000 0.361
Pd1 Pd 0.193 0.500 0.173
Pt1 Pt 0.000 0.500 0.000
Pt2 Pt 0.000 0.500 0.500
Pt3 Pt 0.094 0.000 0.844
Pt4 Pt 0.191 0.500 0.700